Record 1
VASP calculation (GGA-PBE) on a geometry-optimized Tl7InBi3 structure.

CIF file:
```
data_Tl7InBi3
_chemical_formula_sum 'Tl7 In1 Bi3'
_space_group_name_H-M_alt 'P 3 m 1'
_space_group_IT_number 156
_space_group_name_Hall 'P 3 -2"'
_cell_length_a 7.0079
_cell_length_b 7.0079
_cell_length_c 8.5679
_cell_angle_alpha 90.00
_cell_angle_beta 90.00
_cell_angle_gamma 120.00
loop_
_atom_site_label
_atom_site_type_symbol
_atom_site_fract_x
_atom_site_fract_y
_atom_site_fract_z
Tl1 Tl 0.0000 0.0000 0.0000
Tl2 Tl 0.0070 0.5035 0.9983
Tl3 Tl 0.1700 0.3400 0.3528
In1 In 0.6667 0.3333 0.3471
Bi1 Bi 0.3407 0.1704 0.6712
```

Summary:
- DOS at the Fermi energy: 0.631 states/eV per atom
- DFT formation energy: 0.037 eV per atom
- E: -2.78 eV per atom


Record 2
VASP calculation (GGA-PBE) on a geometry-optimized RbPdBr3 structure.

CIF file:
```
data_RbPdBr3
_chemical_formula_sum 'Rb3 Pd3 Br9'
_space_group_name_H-M_alt 'R 3 m'
_space_group_IT_number 160
_space_group_name_Hall 'R 3 -2"'
_cell_length_a 8.3297
_cell_length_b 8.3297
_cell_length_c 16.0590
_cell_angle_alpha 90.00
_cell_angle_beta 90.00
_cell_angle_gamma 120.00
loop_
_atom_site_label
_atom_site_type_symbol
_atom_site_fract_x
_atom_site_fract_y
_atom_site_fract_z
Rb1 Rb 0.0000 0.0000 0.0000
Pd1 Pd 0.0000 0.0000 0.7844
Br1 Br 0.0051 0.5025 0.4880
```

Summary:
- Formation energy from raw total energies: -0.599 eV per atom
- DOS at the Fermi energy: 0.000 states/eV per atom
- E: -2.83 eV per atom


Record 3
VASP calculation (GGA-PBE) on a geometry-optimized Rb3Ce2ErSe6 structure.

CIF file:
```
data_Rb3Ce2ErSe6
_chemical_formula_sum 'Rb6 Ce4 Er2 Se12'
_space_group_name_H-M_alt 'C 1 2/m 1'
_space_group_IT_number 12
_space_group_name_Hall '-C 2y'
_cell_length_a 7.5322
_cell_length_b 13.0476
_cell_length_c 8.3685
_cell_angle_alpha 90.00
_cell_angle_beta 107.47
_cell_angle_gamma 90.00
loop_
_atom_site_label
_atom_site_type_symbol
_atom_site_fract_x
_atom_site_fract_y
_atom_site_fract_z
Rb1 Rb 0.0000 0.0000 0.0000
Rb2 Rb 0.0000 0.3320 0.0000
Ce1 Ce 0.0000 0.1665 0.5000
Er1 Er 0.0000 0.5000 0.5000
Se1 Se 0.2274 0.3384 0.6974
Se2 Se 0.2428 0.0000 0.6978
```

Summary:
- Formation energy from raw total energies: -1.686 eV per atom
- DOS at the Fermi energy: 0.957 states/eV per atom
- E: -5.04 eV per atom